This record from OQMD via LeMat-Bulk describes Cu2Ag3 after structural relaxation. The functional is GGA-PBE.

The total energy is -3.111 eV per atom. The excess energy over the best structure of this formula in the dataset is 38 meV per atom. The value obtained for the formation energy from the elements is 0.070 eV/atom.

It has space group Pmmn (No. 59, origin choice 2), with a = 2.838 Å, b = 3.733 Å, c = 14.591 Å, α = 90.00°, β = 90.00° and γ = 90.00°. Symmetry generates all atoms from Cu at (0.250, 0.250, 0.042), Cu at (0.250, 0.250, 0.874), Ag at (0.250, 0.250, 0.223), Ag at (0.250, 0.250, 0.445) and Ag at (0.250, 0.250, 0.666).